[1]
VASP calculation (PBE) on an optimized crystal structure of RbTcTe.

Geometry as extended XYZ:
```
3
Lattice="0.000 3.634 3.634 3.634 0.000 3.634 3.634 3.634 0.000" Properties=species:S:1:pos:R:3 pbc="T T T"
Rb 0.000 0.000 0.000
Tc 1.817 1.817 1.817
Te 3.634 3.634 3.634
```

Properties
SG: F-43m (216)
Relative energy among the computed polymorphs: 0.000 eV/atom
E_tot: -3.96 eV/atom
Crystal system: cubic

[2]
VASP calculation (PBE) on an optimized crystal structure of RbCu3PtS4.

Geometry as extended XYZ:
```
9
Lattice="5.976 0.000 0.000 0.000 5.976 0.000 0.000 0.000 5.976" Properties=species:S:1:pos:R:3 pbc="T T T"
Rb 0.000 0.000 0.000
Cu 0.000 2.988 2.988
Cu 2.988 0.000 2.988
Cu 2.988 2.988 0.000
Pt 2.988 2.988 2.988
S 1.668 1.668 1.668
S 1.668 4.308 4.308
S 4.308 1.668 4.308
S 4.308 4.308 1.668
```

Properties
SG: P-43m (215)
E_tot: -3.90 eV/atom
Crystal system: cubic

[3]
VASP calculation (PBE) on an optimized crystal structure of Tm3Fe7Co2.

Geometry as extended XYZ:
```
12
Lattice="2.482 1.433 8.093 -2.482 1.433 8.093 0.000 -2.866 8.093" Properties=species:S:1:pos:R:3 pbc="T T T"
Tm 0.000 0.000 0.000
Tm 0.000 0.000 3.452
Tm 0.000 0.000 20.828
Fe -1.244 -0.718 10.087
Fe 0.000 -1.436 14.192
Fe -1.244 0.718 14.192
Fe 0.000 0.000 12.140
Fe 1.244 -0.718 10.087
Fe 0.000 1.436 10.087
Fe 1.244 0.718 14.192
Co 0.000 0.000 8.081
Co 0.000 0.000 16.198
```

Properties
SG: R-3m (166)
E_form: -0.134 eV/atom
E_tot: -7.28 eV/atom
Crystal system: trigonal

[4]
VASP calculation (PBE) on an optimized crystal structure of PmHfZr.

Geometry as extended XYZ:
```
3
Lattice="0.000 3.521 3.521 3.521 0.000 3.521 3.521 3.521 0.000" Properties=species:S:1:pos:R:3 pbc="T T T"
Pm 0.000 0.000 0.000
Hf 5.282 5.282 5.282
Zr 1.761 1.761 1.761
```

Properties
SG: F-43m (216)
Relative energy among the computed polymorphs: 0.271 eV/atom
E_form: 1.174 eV/atom
E_tot: -6.58 eV/atom
Crystal system: cubic

[5]
VASP calculation (PBE) on an optimized crystal structure of LaTmPBr2.

Geometry as extended XYZ:
```
5
Lattice="4.089 0.000 0.000 -2.045 3.542 0.000 0.000 0.000 10.746" Properties=species:S:1:pos:R:3 pbc="T T T"
La 0.000 0.000 0.000
Tm 0.000 2.361 7.604
P 2.045 1.181 9.017
Br 0.000 0.000 5.855
Br 0.000 2.361 1.965
```

Properties
SG: P3m1 (156)
E_tot: -5.41 eV/atom
Crystal system: trigonal

[6]
VASP calculation (PBE) on an optimized crystal structure of MgZnSiIr.

Geometry as extended XYZ:
```
8
Lattice="4.129 0.000 0.000 -2.064 3.575 0.000 0.000 0.000 8.570" Properties=species:S:1:pos:R:3 pbc="T T T"
Mg 0.000 0.000 1.524
Mg 0.000 0.000 7.046
Zn 0.000 2.384 2.843
Zn 0.000 2.384 5.727
Si 2.064 1.192 0.000
Si 2.064 1.192 4.285
Ir 0.000 0.000 4.285
Ir 0.000 2.384 0.000
```

Properties
SG: P-6m2 (187)
Relative energy among the computed polymorphs: 0.009 eV/atom
E_tot: -4.80 eV/atom
Crystal system: hexagonal

[7]
VASP calculation (PBE) on an optimized crystal structure of Sm2Dy2BBr5.

Geometry as extended XYZ:
```
10
Lattice="9.064 -1.973 0.000 9.064 1.973 0.000 -1.859 0.000 7.999" Properties=species:S:1:pos:R:3 pbc="T T T"
Sm 2.481 0.000 0.617
Sm 13.787 0.000 7.382
Dy 8.668 0.000 1.659
Dy 7.600 0.000 6.341
B 0.000 0.000 0.000
Br -0.930 0.000 4.000
Br 5.673 0.000 1.416
Br 4.900 0.000 5.228
Br 11.369 0.000 2.772
Br 10.596 0.000 6.583
```

Properties
SG: C2/m (12)
E_tot: -4.78 eV/atom
Crystal system: monoclinic

[8]
VASP calculation (PBE) on an optimized crystal structure of AcPm2Ir2.

Geometry as extended XYZ:
```
10
Lattice="5.779 0.000 0.000 0.000 4.505 0.000 -1.439 0.000 10.846" Properties=species:S:1:pos:R:3 pbc="T T T"
Ac -0.083 1.126 3.111
Ac 4.423 3.379 7.735
Pm 1.517 3.379 0.324
Pm 1.330 1.126 6.633
Pm 3.011 3.379 4.213
Pm 2.823 1.126 10.522
Ir 0.267 3.379 5.111
Ir -0.080 1.126 9.405
Ir 4.420 3.379 1.441
Ir 4.073 1.126 5.735
```

Properties
SG: P2_1/m (11)
E_form: -0.622 eV/atom
E_tot: -6.88 eV/atom
Crystal system: monoclinic